MgTa2Cl, optimized geometry, DFT PBE; energy relative to the lowest polymorph listed for this composition = 717 meV per atom; volume = 21.1 A^3/atom
1.0
3.779 0.000 0.000
0.000 3.779 0.000
0.000 0.000 5.911
Mg Ta Cl
1 2 1
direct
0.000 0.000 0.000
0.000 0.500 0.500
0.500 0.000 0.500
0.500 0.500 0.000

=====

Cs3CeTm3Se8, optimized geometry, DFT PBE; volume = 34.4 A^3/atom; E_tot = -75.54 eV per formula unit
1.0
4.180 2.414 8.515
-4.180 2.414 8.515
0.000 -4.827 8.515
Cs Ce Tm Se
3 1 3 8
direct
0.000 0.500 0.500
0.500 0.000 0.500
0.500 0.500 0.000
0.500 0.500 0.500
0.000 0.000 0.500
0.000 0.500 0.000
0.500 0.000 0.000
0.224 0.729 0.729
0.227 0.227 0.227
0.271 0.271 0.776
0.271 0.776 0.271
0.729 0.224 0.729
0.729 0.729 0.224
0.773 0.773 0.773
0.776 0.271 0.271

=====

Question: Which value of volume does entry 1 give?
Answer: 21.1 A^3/atom